# 1
DFT (GGA-PBE) results for an optimized crystal structure of ZrAg.

Geometry as POSCAR:
```
ZrAg
1.0
-4.4430 1.8704 1.5360
-1.2065 -7.6710 5.8513
2.2671 2.4084 3.6249
Zr Ag
6 6
direct
0.4852 0.5003 0.0000 Zr
0.3780 0.0183 0.5000 Zr
0.9852 0.3330 0.0000 Zr
0.8781 0.8151 0.5000 Zr
0.9366 0.0054 0.0000 Zr
0.4366 0.8280 0.0000 Zr
0.4701 0.1782 0.0000 Ag
0.8732 0.4963 0.5000 Ag
0.8568 0.1799 0.5000 Ag
0.9701 0.6551 0.0000 Ag
0.3568 0.6534 0.5000 Ag
0.3732 0.3370 0.5000 Ag
```

Computed properties:
Formation energy from the elements   15 meV/atom

# 2
DFT (GGA-PBE) results for an optimized crystal structure of Li4Zn2InAu.

Geometry as POSCAR:
```
Li4Zn2InAu
1.0
-0.6410 0.4102 -4.3694
-4.2092 -1.3071 0.4948
-1.7727 6.0208 0.8252
Zn Li In Au
2 4 1 1
direct
0.0000 0.5000 0.2382 Zn
0.5000 0.0000 0.7618 Zn
0.0000 0.5000 0.7685 Li
0.5000 0.0000 0.2315 Li
0.5000 0.5000 0.0000 Li
0.0000 0.0000 0.5000 Li
0.5000 0.5000 0.5000 In
0.0000 0.0000 0.0000 Au
```

Computed properties:
Final energy   -0.0870 Ha/atom

# 3
DFT (GGA-PBE) results for an optimized crystal structure of RbTbSO.

Geometry as POSCAR:
```
RbTbSO
1.0
3.7550 0.0000 0.0000
-1.8775 3.2519 0.0000
0.0000 0.0000 14.3976
S Rb O Tb
2 2 2 2
direct
0.6667 0.3333 0.9023 S
0.3333 0.6667 0.4023 S
0.6667 0.3333 0.2439 Rb
0.3333 0.6667 0.7439 Rb
0.3333 0.6667 0.0858 O
0.6667 0.3333 0.5858 O
0.0000 0.0000 0.5180 Tb
0.0000 0.0000 0.0180 Tb
```

Computed properties:
Relative energy among the computed polymorphs   0.090 eV/atom

# 4
DFT (GGA-PBE) results for an optimized crystal structure of AcNpIn.

Geometry as POSCAR:
```
AcNpIn
1.0
0.0000 3.7792 3.7792
3.7792 0.0000 3.7792
3.7792 3.7792 0.0000
Np Ac In
1 1 1
direct
0.7500 0.7500 0.7500 Np
0.0000 0.0000 0.0000 Ac
0.2500 0.2500 0.2500 In
```

Computed properties:
Relative energy among the computed polymorphs   0.349 eV/atom

# 5
DFT (GGA-PBE) results for an optimized crystal structure of ZnIr2S4.

Geometry as POSCAR:
```
ZnIr2S4
1.0
-4.8174 2.4249 2.9664
-3.0012 2.9998 -4.4589
1.8630 -5.8666 0.0015
Zn Ir S
1 2 4
direct
0.0000 0.0000 0.0000 Zn
0.2500 0.7500 0.5000 Ir
0.5000 0.5000 0.0000 Ir
0.8696 0.8835 0.4836 S
0.6140 0.1304 0.0139 S
0.3999 0.3860 0.5164 S
0.1165 0.6001 0.9861 S
```

Computed properties:
Relative energy among the computed polymorphs   0.374 eV/atom

# 6
DFT (GGA-PBE) results for an optimized crystal structure of AlW2Au.

Geometry as POSCAR:
```
AlW2Au
1.0
-1.9413 0.3511 4.0585
-4.4977 -0.0559 0.3622
-2.0724 -3.5685 1.8261
Au Al W
1 1 2
direct
0.2500 0.2500 0.2500 Au
0.5000 0.5000 0.5000 Al
0.7500 0.7500 0.7500 W
0.0000 0.0000 0.0000 W
```

Computed properties:
Final energy   -0.2911 Ha/atom

# 7
DFT (GGA-PBE) results for an optimized crystal structure of Rb2NiSeS2.

Geometry as POSCAR:
```
Rb2NiSeS2
1.0
-2.8323 6.5637 -0.0799
-1.7942 3.4043 -6.0251
-6.0630 -6.6809 2.4917
Rb Ni S Se
4 2 4 2
direct
0.9218 0.9218 0.1404 Rb
0.0782 0.0782 0.8596 Rb
0.3024 0.3024 0.6672 Rb
0.6976 0.6976 0.3328 Rb
0.4059 0.4059 0.3567 Ni
0.5941 0.5941 0.6433 Ni
0.7494 0.2506 0.5000 S
0.7836 0.7836 0.7371 S
0.2164 0.2164 0.2629 S
0.2506 0.7494 0.5000 S
0.3845 0.3845 0.1012 Se
0.6155 0.6155 0.8988 Se
```

Computed properties:
Final energy   -0.1405 Ha/atom

# 8
DFT (GGA-PBE) results for an optimized crystal structure of InAsW4C2.

Geometry as POSCAR:
```
InAsW4C2
1.0
-1.5233 -1.9300 -2.0117
-0.5621 -0.1945 3.1207
-9.6106 8.8171 -1.1814
As W In C
1 4 1 2
direct
0.0000 0.0000 0.0000 As
0.0000 0.0000 0.6811 W
0.6667 0.3333 0.8504 W
0.6667 0.3333 0.1496 W
0.0000 0.0000 0.3189 W
0.6667 0.3333 0.5000 In
0.3333 0.6667 0.7631 C
0.3333 0.6667 0.2369 C
```

Computed properties:
Final energy   -0.3489 Ha/atom

# 9
DFT (GGA-PBE) results for an optimized crystal structure of DyErTlB.

Geometry as POSCAR:
```
DyErTlB
1.0
3.6244 0.0000 0.0000
-1.8122 3.1388 0.0000
0.0000 0.0000 16.8539
Tl Er Dy B
2 2 2 2
direct
0.3333 0.6667 0.7519 Tl
0.6667 0.3333 0.2481 Tl
0.3333 0.6667 0.0900 Er
0.6667 0.3333 0.9100 Er
0.3333 0.6667 0.4079 Dy
0.6667 0.3333 0.5921 Dy
0.0000 0.0000 0.0000 B
0.0000 0.0000 0.5000 B
```

Computed properties:
Final energy   -0.1711 Ha/atom

# 10
DFT (GGA-PBE) results for an optimized crystal structure of PuZn.

Geometry as POSCAR:
```
PuZn
1.0
8.1482 -1.4246 0.0000
0.1790 6.5293 0.0000
0.0000 0.0000 4.0117
Zn Pu
6 6
direct
0.1986 0.0088 0.5000 Zn
0.4999 0.9454 0.5000 Zn
0.6495 0.3479 0.5000 Zn
0.0227 0.0476 0.0000 Zn
0.5731 0.7069 0.0000 Zn
0.7212 0.1094 0.0000 Zn
0.3806 0.2847 0.0000 Pu
0.3089 0.4996 0.5000 Pu
0.0155 0.3752 0.5000 Pu
0.8415 0.7707 0.5000 Pu
0.9139 0.5556 0.0000 Pu
0.2077 0.6815 0.0000 Pu
```

Computed properties:
Formation energy from the elements   -108 meV/atom

# 11
DFT (GGA-PBE) results for an optimized crystal structure of Hf2O.

Geometry as POSCAR:
```
Hf2O
1.0
-1.0098 3.5446 -3.8470
-3.9662 -3.0735 -1.7908
-2.0846 1.5429 1.9688
Hf O
4 2
direct
0.2116 0.7884 0.5000 Hf
0.7884 0.2116 0.5000 Hf
0.2884 0.2884 0.0000 Hf
0.7116 0.7116 0.0000 Hf
0.0000 0.0000 0.0000 O
0.5000 0.5000 0.5000 O
```

Computed properties:
Final energy   -0.3664 Ha/atom

# 12
DFT (GGA-PBE) results for an optimized crystal structure of ZrBiPd2.

Geometry as POSCAR:
```
ZrBiPd2
1.0
0.0000 3.3823 3.3823
3.3823 0.0000 3.3823
3.3823 3.3823 0.0000
Pd Zr Bi
2 1 1
direct
0.7500 0.7500 0.7500 Pd
0.0000 0.0000 0.0000 Pd
0.2500 0.2500 0.2500 Zr
0.5000 0.5000 0.5000 Bi
```

Computed properties:
Final energy   -0.2250 Ha/atom

# 13
DFT (GGA-PBE) results for an optimized crystal structure of Er2Os2O5.

Geometry as POSCAR:
```
Er2Os2O5
1.0
-3.4502 5.8644 1.0475
-1.6298 -0.3259 -3.5434
-2.9689 -2.0238 1.5517
Os O Er
2 5 2
direct
0.1858 0.5000 0.5000 Os
0.8142 0.5000 0.5000 Os
0.7538 0.5000 0.0000 O
0.5000 0.5000 0.5000 O
0.2462 0.5000 0.0000 O
0.2462 0.0000 0.5000 O
0.7538 0.0000 0.5000 O
0.0000 0.0000 0.0000 Er
0.5000 0.0000 0.0000 Er
```

Computed properties:
Relative energy among the computed polymorphs   0.000 eV/atom

# 14
DFT (GGA-PBE) results for an optimized crystal structure of ErScPbC.

Geometry as POSCAR:
```
ErScPbC
1.0
3.5041 0.0000 0.0000
-1.7521 3.0347 0.0000
0.0000 0.0000 15.5628
Sc Er Pb C
2 2 2 2
direct
0.6667 0.3333 0.5759 Sc
0.3333 0.6667 0.4241 Sc
0.3333 0.6667 0.0852 Er
0.6667 0.3333 0.9148 Er
0.3333 0.6667 0.7404 Pb
0.6667 0.3333 0.2596 Pb
0.0000 0.0000 0.0000 C
0.0000 0.0000 0.5000 C
```

Computed properties:
Relative energy among the computed polymorphs   0.003 eV/atom

# 15
DFT (GGA-PBE) results for an optimized crystal structure of NdHfCu.

Geometry as POSCAR:
```
NdHfCu
1.0
-2.0309 -4.2312 0.2900
0.9907 -2.8408 3.6139
-3.2474 -0.8282 3.2986
Nd Cu Hf
1 1 1
direct
0.7500 0.7500 0.7500 Nd
0.0000 0.0000 0.0000 Cu
0.2500 0.2500 0.2500 Hf
```

Computed properties:
Formation energy from the elements   378 meV/atom

# 16
DFT (GGA-PBE) results for an optimized crystal structure of Y2Nb4Zn3N3.

Geometry as POSCAR:
```
Y2Nb4Zn3N3
1.0
-3.6878 4.1350 -0.7229
-5.3394 -0.7317 1.4751
5.8950 3.5705 12.3348
Zn Nb N Y
6 8 6 4
direct
0.0985 0.4143 0.7492 Zn
0.9015 0.5857 0.2508 Zn
0.0700 0.9300 0.7500 Zn
0.4143 0.0985 0.2492 Zn
0.9300 0.0700 0.2500 Zn
0.5857 0.9015 0.7508 Zn
0.9776 0.8018 0.9211 Nb
0.6937 0.8560 0.0789 Nb
0.0224 0.1982 0.0789 Nb
0.1440 0.3063 0.4211 Nb
0.3063 0.1440 0.9211 Nb
0.8560 0.6937 0.5789 Nb
0.1982 0.0224 0.5789 Nb
0.8018 0.9776 0.4211 Nb
0.1749 0.6626 0.4998 N
0.8251 0.3374 0.5002 N
0.0000 0.5000 0.0000 N
0.3374 0.8251 0.0002 N
0.6626 0.1749 0.9998 N
0.5000 0.0000 0.5000 N
0.3788 0.5394 0.1155 Y
0.6212 0.4606 0.8845 Y
0.4606 0.6212 0.3845 Y
0.5394 0.3788 0.6155 Y
```

Computed properties:
Final energy   -0.2799 Ha/atom

# 17
DFT (GGA-PBE) results for an optimized crystal structure of BeCuPd.

Geometry as POSCAR:
```
BeCuPd
1.0
0.0000 2.6648 2.6648
2.6648 0.0000 2.6648
2.6648 2.6648 0.0000
Be Pd Cu
1 1 1
direct
0.0000 0.0000 0.0000 Be
0.7500 0.7500 0.7500 Pd
0.2500 0.2500 0.2500 Cu
```

Computed properties:
Relative energy among the computed polymorphs   0.000 eV/atom

# 18
DFT (GGA-PBE) results for an optimized crystal structure of LuTcPO.

Geometry as POSCAR:
```
LuTcPO
1.0
3.1214 -3.1214 0.0000
3.1214 3.1214 0.0000
0.0000 0.0000 7.5169
Lu P O Tc
2 2 2 2
direct
0.0000 0.5000 0.5000 Lu
0.5000 0.0000 0.5000 Lu
0.0000 0.0000 0.6908 P
0.5000 0.5000 0.3091 P
0.0000 0.5000 0.0000 O
0.5000 0.0000 0.0000 O
0.5000 0.5000 0.9899 Tc
0.0000 0.0000 0.0101 Tc
```

Computed properties:
Relative energy among the computed polymorphs   1.632 eV/atom

# 19
DFT (GGA-PBE) results for an optimized crystal structure of InMo3CN.

Geometry as POSCAR:
```
InMo3CN
1.0
3.1608 0.0000 0.0000
-1.5804 2.7374 0.0000
0.0000 0.0000 18.6230
Mo N In C
6 2 2 2
direct
0.0000 0.0000 0.0000 Mo
0.6667 0.3333 0.1252 Mo
0.6667 0.3333 0.3806 Mo
0.3333 0.6667 0.8748 Mo
0.3333 0.6667 0.6194 Mo
0.0000 0.0000 0.5000 Mo
0.6667 0.3333 0.5648 N
0.3333 0.6667 0.4352 N
0.0000 0.0000 0.7470 In
0.0000 0.0000 0.2530 In
0.6667 0.3333 0.9305 C
0.3333 0.6667 0.0695 C
```

Computed properties:
Final energy   -0.3217 Ha/atom

# 20
DFT (GGA-PBE) results for an optimized crystal structure of Li4InAg2Ge.

Geometry as POSCAR:
```
Li4InAg2Ge
1.0
-0.5282 0.3583 -4.4628
-0.9694 -4.3963 -0.2382
-6.2936 1.3415 0.8525
Li Ge Ag In
4 1 2 1
direct
0.0000 0.5000 0.2275 Li
0.5000 0.5000 0.5000 Li
0.5000 0.0000 0.7725 Li
0.0000 0.0000 0.0000 Li
0.5000 0.5000 0.0000 Ge
0.0000 0.5000 0.7673 Ag
0.5000 0.0000 0.2327 Ag
0.0000 0.0000 0.5000 In
```

Computed properties:
Final energy   -0.1061 Ha/atom